Computed, not measured: crystalline ThWF6 at its relaxed geometry at the PBE with a Hubbard U level of DFT.

abc: 10.491 5.945 5.670
angles: 40.73 50.76 79.69
Sites, in units of the cell vectors:
F 0.487 0.895 0.889
F 0.778 0.749 0.734
F 0.513 0.105 0.111
F 0.222 0.251 0.266
F 0.794 0.955 0.023
Th 0.500 0.500 0.500
W 0.000 0.000 0.000
F 0.206 0.045 0.977

Properties
ρ, kg/m3: 6121
Energy, eV per atom: -6.450
Space-group type: P-1, No. 2